1.
ErBiSb | Alexandria via LeMat-Bulk | GGA-PBE | relaxed; ρ = 9.63 g cm⁻³; energy relative to the elements, uncorrected = -0.55 eV per atom; symmetry = P4/nmm; spin magnetization = 0.00 μB/cell; E above lowest polymorph = 0.0 meV per atom; final energy = -4.735 eV per atom
1.0
4.291 0.000 0.000
0.000 4.291 0.000
0.000 0.000 9.327
Er Bi Sb
2 2 2
Direct
0.250 0.250 0.243
0.750 0.750 0.757
0.250 0.250 0.888
0.750 0.750 0.112
0.250 0.750 0.500
0.750 0.250 0.500

---

2.
Er5Bi5Sb | Alexandria via LeMat-Bulk | GGA-PBE | relaxed; ρ = 9.30 g cm⁻³; energy relative to the elements, uncorrected = -0.64 eV per atom; symmetry = C2/m; spin magnetization = 0.00 μB/cell; final energy = -4.850 eV per atom
1.0
6.984 -3.084 0.000
6.984 3.084 0.000
-2.838 0.000 8.301
Er Bi Sb
5 5 1
Direct
0.000 0.000 0.000
0.331 0.331 0.159
0.334 0.334 0.672
0.666 0.666 0.328
0.669 0.669 0.841
0.154 0.154 0.810
0.161 0.161 0.341
0.500 0.500 0.500
0.839 0.839 0.659
0.846 0.846 0.190
0.500 0.500 0.000

---

3.
Er10Bi3Sb3 | Alexandria via LeMat-Bulk | GGA-PBE | relaxed; ρ = 10.04 g cm⁻³; energy relative to the elements, uncorrected = -0.76 eV per atom; symmetry = P-62m; spin magnetization = 0.00 μB/cell; final energy = -5.111 eV per atom
1.0
8.995 0.000 0.000
-4.497 7.790 0.000
0.000 0.000 6.290
Er Bi Sb
10 3 3
Direct
0.000 0.244 0.000
0.000 0.755 0.500
0.244 0.000 0.000
0.245 0.245 0.500
0.333 0.667 0.254
0.333 0.667 0.746
0.667 0.333 0.254
0.667 0.333 0.746
0.755 0.000 0.500
0.756 0.756 0.000
0.000 0.609 0.000
0.391 0.391 0.000
0.609 0.000 0.000
0.000 0.388 0.500
0.388 0.000 0.500
0.612 0.612 0.500

---

4.
Er5BiSb4 | Alexandria via LeMat-Bulk | GGA-PBE | relaxed; ρ = 8.63 g cm⁻³; energy relative to the elements, uncorrected = -1.04 eV per atom; symmetry = Immm; spin magnetization = 0.00 μB/cell; final energy = -5.356 eV per atom
1.0
-2.184 3.089 10.927
2.184 -3.089 10.927
2.184 3.089 -10.927
Er Bi Sb
5 1 4
Direct
0.000 0.000 0.000
0.199 0.199 0.000
0.397 0.397 0.000
0.603 0.603 0.000
0.801 0.801 0.000
0.500 0.000 0.500
0.100 0.600 0.500
0.299 0.799 0.500
0.701 0.201 0.500
0.900 0.400 0.500

---

5.
Er6Bi3Sb | Alexandria via LeMat-Bulk | GGA-PBE | relaxed; ρ = 9.19 g cm⁻³; energy relative to the elements, uncorrected = -0.55 eV per atom; symmetry = Cmc2_1; spin magnetization = 1.79 μB/cell; final energy = -4.860 eV per atom
1.0
5.596 -7.498 0.000
5.596 7.498 0.000
0.000 0.000 7.547
Er Bi Sb
12 6 2
Direct
0.001 0.999 0.500
0.079 0.540 0.990
0.248 0.752 0.382
0.271 0.388 0.390
0.388 0.271 0.890
0.460 0.921 0.990
0.540 0.079 0.490
0.612 0.729 0.390
0.729 0.612 0.890
0.752 0.248 0.882
0.921 0.460 0.490
0.999 0.001 0.000
0.088 0.284 0.734
0.284 0.088 0.234
0.416 0.584 0.068
0.584 0.416 0.568
0.716 0.912 0.734
0.912 0.716 0.234
0.166 0.834 0.748
0.834 0.166 0.248

---

6.
Er5Bi2Sb2 | Alexandria via LeMat-Bulk | GGA-PBE | relaxed; ρ = 9.73 g cm⁻³; energy relative to the elements, uncorrected = -0.84 eV per atom; symmetry = Cmce; spin magnetization = 0.02 μB/cell; final energy = -5.156 eV per atom
1.0
7.703 -4.055 0.000
7.703 4.055 0.000
0.000 0.000 8.180
Er Bi Sb
10 4 4
Direct
0.000 0.000 0.000
0.025 0.711 0.659
0.211 0.525 0.159
0.289 0.975 0.659
0.475 0.789 0.159
0.500 0.500 0.500
0.525 0.211 0.841
0.711 0.025 0.341
0.789 0.475 0.841
0.975 0.289 0.341
0.202 0.202 0.000
0.298 0.298 0.500
0.702 0.702 0.500
0.798 0.798 0.000
0.144 0.856 0.357
0.356 0.644 0.857
0.644 0.356 0.143
0.856 0.144 0.643

---

7.
Er7Bi2Sb2 | Alexandria via LeMat-Bulk | GGA-PBE | relaxed; ρ = 8.71 g cm⁻³; energy relative to the elements, uncorrected = -0.35 eV per atom; symmetry = Cmmm; spin magnetization = 0.78 μB/cell; final energy = -4.714 eV per atom
1.0
4.632 -5.405 0.000
4.632 5.405 0.000
0.000 0.000 6.979
Er Bi Sb
7 2 2
Direct
0.000 0.000 0.000
0.000 0.500 0.264
0.000 0.500 0.736
0.500 0.000 0.264
0.500 0.000 0.736
0.500 0.500 0.260
0.500 0.500 0.740
0.194 0.194 0.500
0.806 0.806 0.500
0.277 0.723 0.000
0.723 0.277 0.000

---

8.
Er4BiSb2 | Alexandria via LeMat-Bulk | GGA-PBE | relaxed; ρ = 8.59 g cm⁻³; energy relative to the elements, uncorrected = -0.67 eV per atom; symmetry = I2_12_12_1; spin magnetization = 0.00 μB/cell; final energy = -5.010 eV per atom
1.0
-4.720 4.793 4.793
4.720 -4.793 4.793
4.720 4.793 -4.793
Er Bi Sb
8 2 4
Direct
0.065 0.122 0.058
0.065 0.942 0.507
0.435 0.493 0.057
0.435 0.942 0.878
0.564 0.007 0.442
0.564 0.558 0.622
0.936 0.378 0.443
0.936 0.558 0.993
0.250 0.625 0.375
0.750 0.875 0.125
0.000 0.250 0.750
0.000 0.750 0.750
0.500 0.250 0.250
0.500 0.250 0.750

---

Question: Among the records above, which one has the lowest energy relative to the elements, uncorrected?
Answer: Er5BiSb4

---

Question: Which of these has the highest spin magnetization?
Answer: Er6Bi3Sb

---

Repeat the fifth record exactly.
Er6Bi3Sb | Alexandria via LeMat-Bulk | GGA-PBE | relaxed; ρ = 9.19 g cm⁻³; energy relative to the elements, uncorrected = -0.55 eV per atom; symmetry = Cmc2_1; spin magnetization = 1.79 μB/cell; final energy = -4.860 eV per atom
1.0
5.596 -7.498 0.000
5.596 7.498 0.000
0.000 0.000 7.547
Er Bi Sb
12 6 2
Direct
0.001 0.999 0.500
0.079 0.540 0.990
0.248 0.752 0.382
0.271 0.388 0.390
0.388 0.271 0.890
0.460 0.921 0.990
0.540 0.079 0.490
0.612 0.729 0.390
0.729 0.612 0.890
0.752 0.248 0.882
0.921 0.460 0.490
0.999 0.001 0.000
0.088 0.284 0.734
0.284 0.088 0.234
0.416 0.584 0.068
0.584 0.416 0.568
0.716 0.912 0.734
0.912 0.716 0.234
0.166 0.834 0.748
0.834 0.166 0.248